An optimized crystal structure of NiP2SI. Source: Alexandria, functional PBEsol.

Properties
Its formation energy from raw total energies is 1.887 eV per atom. The magnetic moment is 1.7 μB/cell.

The structure in POSCAR format:
```
NiP2SI
1.0
5.007 0.000 0.000
0.000 5.007 0.000
0.000 0.000 4.979
Ni P S I
1 2 1 1
direct
0.000 0.000 0.000 Ni
0.000 0.500 0.500 P
0.500 0.000 0.500 P
0.500 0.500 0.000 S
0.500 0.500 0.500 I
```